Entry one
Computed, not measured: KRe2Br at its PBEsol-relaxed geometry at the SCAN level of DFT.

CIF file:
```
data_KRe2Br
_chemical_formula_sum 'K1 Re2 Br1'
_cell_length_a 2.665
_cell_length_b 4.794
_cell_length_c 7.040
_cell_angle_alpha 90.00
_cell_angle_beta 90.00
_cell_angle_gamma 90.00
_space_group_name_H-M_alt 'P m m m'
_space_group_IT_number 47
_space_group_name_Hall '-P 2 2'
loop_
_atom_site_label
_atom_site_fract_x
_atom_site_fract_y
_atom_site_fract_z
_atom_site_occupancy
K1 0.000 0.000 0.000 1
Re1 0.000 0.500 0.500 1
Re2 0.500 0.000 0.500 1
Br1 0.500 0.500 0.000 1
```

Density: 9.07 g/cm³

=====

Entry two
Computed, not measured: KRe2Br at its PBEsol-relaxed geometry at the SCAN level of DFT.

CIF file:
```
data_KRe2Br
_chemical_formula_sum 'K2 Re4 Br2'
_cell_length_a 5.238
_cell_length_b 13.548
_cell_length_c 2.562
_cell_angle_alpha 90.00
_cell_angle_beta 90.00
_cell_angle_gamma 90.00
_space_group_name_H-M_alt 'C m m m'
_space_group_IT_number 65
_space_group_name_Hall '-C 2 2'
loop_
_atom_site_label
_atom_site_fract_x
_atom_site_fract_y
_atom_site_fract_z
_atom_site_occupancy
K1 0.000 0.000 0.000 1
Re1 0.250 0.250 0.500 1
Br1 0.000 0.500 0.000 1
```

Density: 8.98 g/cm³

=====

Tell me which of them is the least stable. Sure, it is entry two.

=====

Entry one
Computed, not measured: KSeBr2 at its PBEsol-relaxed geometry at the SCAN level of DFT.

CIF file:
```
data_KSeBr2
_chemical_formula_sum 'K4 Se4 Br8'
_cell_length_a 7.673
_cell_length_b 7.673
_cell_length_c 7.673
_cell_angle_alpha 90.00
_cell_angle_beta 90.00
_cell_angle_gamma 90.00
_space_group_name_H-M_alt 'F m -3 m'
_space_group_IT_number 225
_space_group_name_Hall '-F 4 2 3'
loop_
_atom_site_label
_atom_site_fract_x
_atom_site_fract_y
_atom_site_fract_z
_atom_site_occupancy
K1 0.000 0.000 0.000 1
Se1 0.000 0.000 0.500 1
Br1 0.250 0.250 0.250 1
```

Density: 4.08 g/cm³

=====

Entry two
Computed, not measured: KSeBr2 at its PBEsol-relaxed geometry at the SCAN level of DFT.

CIF file:
```
data_KSeBr2
_chemical_formula_sum 'K1 Se1 Br2'
_cell_length_a 4.051
_cell_length_b 4.051
_cell_length_c 7.280
_cell_angle_alpha 90.00
_cell_angle_beta 90.00
_cell_angle_gamma 90.00
_space_group_name_H-M_alt 'P 4 m m'
_space_group_IT_number 99
_space_group_name_Hall 'P 4 -2'
loop_
_atom_site_label
_atom_site_fract_x
_atom_site_fract_y
_atom_site_fract_z
_atom_site_occupancy
K1 0.000 0.000 0.000 1
Se1 0.500 0.500 0.413 1
Br1 0.000 0.000 0.435 1
Br2 0.500 0.500 0.852 1
```

Density: 3.86 g/cm³

=====

Tell me which of them is the least stable. Sure, it is entry one.

=====

Entry one
Computed, not measured: KTiSeBr2 at its PBEsol-relaxed geometry at the SCAN level of DFT.

CIF file:
```
data_KTiSeBr2
_chemical_formula_sum 'K1 Ti1 Se1 Br2'
_cell_length_a 5.554
_cell_length_b 5.554
_cell_length_c 5.614
_cell_angle_alpha 90.00
_cell_angle_beta 90.00
_cell_angle_gamma 90.00
_space_group_name_H-M_alt 'P 4/m m m'
_space_group_IT_number 123
_space_group_name_Hall '-P 4 2'
loop_
_atom_site_label
_atom_site_fract_x
_atom_site_fract_y
_atom_site_fract_z
_atom_site_occupancy
K1 0.000 0.000 0.000 1
Ti1 0.500 0.500 0.500 1
Se1 0.000 0.000 0.500 1
Br1 0.000 0.500 0.000 1
```

Density: 3.12 g/cm³

=====

Entry two
Computed, not measured: KTiSeBr2 at its PBEsol-relaxed geometry at the SCAN level of DFT.

CIF file:
```
data_KTiSeBr2
_chemical_formula_sum 'K1 Ti1 Se1 Br2'
_cell_length_a 5.242
_cell_length_b 5.242
_cell_length_c 4.906
_cell_angle_alpha 90.00
_cell_angle_beta 90.00
_cell_angle_gamma 90.00
_space_group_name_H-M_alt 'P 4/m m m'
_space_group_IT_number 123
_space_group_name_Hall '-P 4 2'
loop_
_atom_site_label
_atom_site_fract_x
_atom_site_fract_y
_atom_site_fract_z
_atom_site_occupancy
K1 0.000 0.000 0.000 1
Ti1 0.500 0.500 0.500 1
Se1 0.500 0.500 0.000 1
Br1 0.000 0.500 0.500 1
```

Density: 4.01 g/cm³

=====

Tell me which of them is the least stable. Sure, it is entry one.

=====

Entry one
Computed, not measured: KSiBr2 at its PBEsol-relaxed geometry at the SCAN level of DFT.

CIF file:
```
data_KSiBr2
_chemical_formula_sum 'K2 Si2 Br4'
_cell_length_a 4.206
_cell_length_b 4.206
_cell_length_c 13.036
_cell_angle_alpha 90.00
_cell_angle_beta 90.00
_cell_angle_gamma 90.00
_space_group_name_H-M_alt 'I -4 m 2'
_space_group_IT_number 119
_space_group_name_Hall 'I -4 -2'
loop_
_atom_site_label
_atom_site_fract_x
_atom_site_fract_y
_atom_site_fract_z
_atom_site_occupancy
K1 0.000 0.000 0.000 1
Si1 0.000 0.500 0.250 1
Br1 0.000 0.000 0.500 1
Br2 0.000 0.500 0.750 1
```

Density: 3.27 g/cm³

=====

Entry two
Computed, not measured: KSiBr2 at its PBEsol-relaxed geometry at the SCAN level of DFT.

CIF file:
```
data_KSiBr2
_chemical_formula_sum 'K4 Si4 Br8'
_cell_length_a 7.449
_cell_length_b 7.449
_cell_length_c 7.449
_cell_angle_alpha 90.00
_cell_angle_beta 90.00
_cell_angle_gamma 90.00
_space_group_name_H-M_alt 'F m -3 m'
_space_group_IT_number 225
_space_group_name_Hall '-F 4 2 3'
loop_
_atom_site_label
_atom_site_fract_x
_atom_site_fract_y
_atom_site_fract_z
_atom_site_occupancy
K1 0.000 0.000 0.000 1
Si1 0.000 0.000 0.500 1
Br1 0.250 0.250 0.250 1
```

Density: 3.65 g/cm³

=====

Tell me which of them is the least stable. Sure, it is entry two.

=====

Entry one
Computed, not measured: K2SiBr at its PBEsol-relaxed geometry at the SCAN level of DFT.

CIF file:
```
data_K2SiBr
_chemical_formula_sum 'K8 Si4 Br4'
_cell_length_a 8.660
_cell_length_b 8.660
_cell_length_c 9.322
_cell_angle_alpha 90.00
_cell_angle_beta 90.00
_cell_angle_gamma 90.00
_space_group_name_H-M_alt 'I -4 2 d'
_space_group_IT_number 122
_space_group_name_Hall 'I -4 2bw'
loop_
_atom_site_label
_atom_site_fract_x
_atom_site_fract_y
_atom_site_fract_z
_atom_site_occupancy
K1 0.226 0.250 0.125 1
Si1 0.000 0.000 0.500 1
Br1 0.000 0.000 0.000 1
```

Density: 1.77 g/cm³

=====

Entry two
Computed, not measured: K2SiBr at its PBEsol-relaxed geometry at the SCAN level of DFT.

CIF file:
```
data_K2SiBr
_chemical_formula_sum 'K8 Si4 Br4'
_cell_length_a 8.123
_cell_length_b 8.123
_cell_length_c 8.123
_cell_angle_alpha 90.00
_cell_angle_beta 90.00
_cell_angle_gamma 90.00
_space_group_name_H-M_alt 'F m -3 m'
_space_group_IT_number 225
_space_group_name_Hall '-F 4 2 3'
loop_
_atom_site_label
_atom_site_fract_x
_atom_site_fract_y
_atom_site_fract_z
_atom_site_occupancy
K1 0.250 0.250 0.250 1
Si1 0.000 0.000 0.000 1
Br1 0.000 0.000 0.500 1
```

Density: 2.31 g/cm³

=====

Tell me which of them is the least stable. Sure, it is entry one.

=====

Entry one
Computed, not measured: K2SnBr6 at its PBEsol-relaxed geometry at the SCAN level of DFT.

CIF file:
```
data_K2SnBr6
_chemical_formula_sum 'K8 Sn4 Br24'
_cell_length_a 10.504
_cell_length_b 10.504
_cell_length_c 10.504
_cell_angle_alpha 90.00
_cell_angle_beta 90.00
_cell_angle_gamma 90.00
_space_group_name_H-M_alt 'F m -3 m'
_space_group_IT_number 225
_space_group_name_Hall '-F 4 2 3'
loop_
_atom_site_label
_atom_site_fract_x
_atom_site_fract_y
_atom_site_fract_z
_atom_site_occupancy
K1 0.250 0.250 0.250 1
Sn1 0.000 0.000 0.000 1
Br1 0.000 0.000 0.249 1
```

Density: 3.88 g/cm³

=====

Entry two
Computed, not measured: K2SnBr6 at its PBEsol-relaxed geometry at the SCAN level of DFT.

CIF file:
```
data_K2SnBr6
_chemical_formula_sum 'K4 Sn2 Br12'
_cell_length_a 7.377
_cell_length_b 7.553
_cell_length_c 12.699
_cell_angle_alpha 90.00
_cell_angle_beta 125.02
_cell_angle_gamma 90.00
_space_group_name_H-M_alt 'P 1 21/c 1'
_space_group_IT_number 14
_space_group_name_Hall '-P 2ybc'
loop_
_atom_site_label
_atom_site_fract_x
_atom_site_fract_y
_atom_site_fract_z
_atom_site_occupancy
K1 0.232 0.061 0.248 1
Sn1 0.500 0.000 0.000 1
Br1 0.178 0.201 0.964 1
Br2 0.271 0.715 0.971 1
Br3 0.318 0.003 0.752 1
```

Density: 3.88 g/cm³

=====

Tell me which of them is the least stable. Sure, it is entry one.

=====

Entry one
Computed, not measured: K2TaBr at its PBEsol-relaxed geometry at the SCAN level of DFT.

CIF file:
```
data_K2TaBr
_chemical_formula_sum 'K2 Ta1 Br1'
_cell_length_a 3.255
_cell_length_b 3.255
_cell_length_c 10.444
_cell_angle_alpha 90.00
_cell_angle_beta 90.00
_cell_angle_gamma 90.00
_space_group_name_H-M_alt 'P 4/m m m'
_space_group_IT_number 123
_space_group_name_Hall '-P 4 2'
loop_
_atom_site_label
_atom_site_fract_x
_atom_site_fract_y
_atom_site_fract_z
_atom_site_occupancy
K1 0.000 0.000 0.207 1
Ta1 0.500 0.500 0.500 1
Br1 0.500 0.500 0.000 1
```

Density: 5.09 g/cm³

=====

Entry two
Computed, not measured: K2TaBr at its PBEsol-relaxed geometry at the SCAN level of DFT.

CIF file:
```
data_K2TaBr
_chemical_formula_sum 'K4 Ta2 Br2'
_cell_length_a 3.226
_cell_length_b 6.088
_cell_length_c 12.683
_cell_angle_alpha 90.00
_cell_angle_beta 90.00
_cell_angle_gamma 90.00
_space_group_name_H-M_alt 'I m m 2'
_space_group_IT_number 44
_space_group_name_Hall 'I 2 -2'
loop_
_atom_site_label
_atom_site_fract_x
_atom_site_fract_y
_atom_site_fract_z
_atom_site_occupancy
K1 0.000 0.000 0.000 1
K2 0.000 0.500 0.192 1
Ta1 0.000 0.500 0.791 1
Br1 0.000 0.000 0.461 1
```

Density: 4.52 g/cm³

=====

Tell me which of them is the least stable. Sure, it is entry two.

=====

Entry one
Computed, not measured: KTc2Br at its PBEsol-relaxed geometry at the SCAN level of DFT.

CIF file:
```
data_KTc2Br
_chemical_formula_sum 'K4 Tc8 Br4'
_cell_length_a 6.938
_cell_length_b 6.938
_cell_length_c 6.938
_cell_angle_alpha 90.00
_cell_angle_beta 90.00
_cell_angle_gamma 90.00
_space_group_name_H-M_alt 'F m -3 m'
_space_group_IT_number 225
_space_group_name_Hall '-F 4 2 3'
loop_
_atom_site_label
_atom_site_fract_x
_atom_site_fract_y
_atom_site_fract_z
_atom_site_occupancy
K1 0.000 0.000 0.000 1
Tc1 0.250 0.250 0.250 1
Br1 0.000 0.000 0.500 1
```

Density: 6.27 g/cm³

=====

Entry two
Computed, not measured: KTc2Br at its PBEsol-relaxed geometry at the SCAN level of DFT.

CIF file:
```
data_KTc2Br
_chemical_formula_sum 'K2 Tc4 Br2'
_cell_length_a 5.350
_cell_length_b 11.414
_cell_length_c 3.198
_cell_angle_alpha 90.00
_cell_angle_beta 126.53
_cell_angle_gamma 90.00
_space_group_name_H-M_alt 'C 1 2/m 1'
_space_group_IT_number 12
_space_group_name_Hall '-C 2y'
loop_
_atom_site_label
_atom_site_fract_x
_atom_site_fract_y
_atom_site_fract_z
_atom_site_occupancy
K1 0.000 0.000 0.000 1
Tc1 0.250 0.250 0.000 1
Br1 0.000 0.500 0.000 1
```

Density: 6.67 g/cm³

=====

Tell me which of them is the least stable. Sure, it is entry one.